(1)
DFT (PBE) results for crystalline SrPW at its relaxed geometry.

Lattice parameters (Å, degrees): 3.5512 3.5512 6.1572 90.00 90.00 120.00
Last column: nearest neighbours and their distance in Å.
Element x y z (fractional)
1 Sr 0.0000 0.0000 0.0000  3 P 2.97
2 P 0.3333 0.6667 0.6518  3 W 2.40
3 W 0.6667 0.3333 0.4497  3 P 2.40

For the size of the total moment, the calculation gives 0.285 μB/atom. The value obtained for the offset from the most stable computed form is 0.571 eV per atom.

***

(2)
DFT (PBE) results for crystalline BeFeSi2 at its relaxed geometry.

Lattice parameters (Å, degrees): 2.6709 2.6709 22.0189 90.00 90.00 120.00
Last column: nearest neighbours and their distance in Å.
Element x y z (fractional)
1 Be 0.0000 0.0000 0.0000  6 Si 2.45, 6 Be 2.67
2 Be 0.3333 0.6667 0.6667  6 Si 2.45, 6 Be 2.67
3 Be 0.6667 0.3333 0.3333  6 Si 2.45, 6 Be 2.67
4 Fe 0.0000 0.0000 0.5000  6 Si 2.35
5 Fe 0.3333 0.6667 0.1667  6 Si 2.35
6 Fe 0.6667 0.3333 0.8333  6 Si 2.35
7 Si 0.0000 0.0000 0.2471  3 Fe 2.35, 3 Be 2.45
8 Si 0.0000 0.0000 0.7529  3 Fe 2.35, 3 Be 2.45
9 Si 0.3333 0.6667 0.4196  3 Fe 2.35, 3 Be 2.45
10 Si 0.3333 0.6667 0.9137  3 Fe 2.35, 3 Be 2.45
11 Si 0.6667 0.3333 0.0863  3 Fe 2.35, 3 Be 2.45
12 Si 0.6667 0.3333 0.5804  3 Fe 2.35, 3 Be 2.45

For the size of the total moment, the calculation gives 0.093 μB/atom. Its raw formation energy is -24 meV per atom.

***

(3)
DFT (PBE) results for crystalline ScBCl2 at its relaxed geometry.

Lattice parameters (Å, degrees): 3.3811 3.3811 26.6562 90.00 90.00 120.00
Last column: nearest neighbours and their distance in Å.
Element x y z (fractional)
1 Sc 0.0000 0.0000 0.0000  6 Cl 2.56
2 Sc 0.3333 0.6667 0.6667  6 Cl 2.56
3 Sc 0.6667 0.3333 0.3333  6 Cl 2.56
4 B 0.0000 0.0000 0.5000  2 Cl 2.79
5 B 0.3333 0.6667 0.1667  2 Cl 2.79
6 B 0.6667 0.3333 0.8333  2 Cl 2.79
7 Cl 0.0000 0.0000 0.3952  3 Sc 2.56, 1 B 2.79
8 Cl 0.0000 0.0000 0.6048  3 Sc 2.56, 1 B 2.79
9 Cl 0.3333 0.6667 0.0619  3 Sc 2.56, 1 B 2.79
10 Cl 0.3333 0.6667 0.2715  3 Sc 2.56, 1 B 2.79
11 Cl 0.6667 0.3333 0.7285  3 Sc 2.56, 1 B 2.79
12 Cl 0.6667 0.3333 0.9381  3 Sc 2.56, 1 B 2.79

For the size of the total moment, the calculation gives 0.000 μB/atom. The value obtained for the offset from the most stable computed form is 0.213 eV per atom. Its raw formation energy is -93 meV per atom.

***

What are the DOS(E_F) values for these records? In order: 0.651, 0.444, 0.699 states/eV per atom.
What are the V values for these records? In order: 22.41, 11.34, 21.99 Å³ per atom.
What are the E_tot values for these records? In order: -0.2391, -0.2125, -0.1569 hartree per atom.